[1]
# LiLaY2Rh, optimized geometry, DFT PBE
# raw total energy	-5.63	eV per atom
# crystal system	tetragonal
# space-group type	P4/mmm, No. 123
data_LiLaY2Rh
_chemical_formula_sum 'Li1 La1 Y2 Rh1'
_symmetry_space_group_name_H-M 'P 1'
_symmetry_Int_Tables_number 1
_symmetry_space_group_name_Hall 'P 1'
_cell_length_a 5.4662
_cell_length_b 5.4662
_cell_length_c 5.5571
_cell_angle_alpha 90.00
_cell_angle_beta 90.00
_cell_angle_gamma 90.00
loop_
_atom_site_label
_atom_site_type_symbol
_atom_site_fract_x
_atom_site_fract_y
_atom_site_fract_z
_atom_site_occupancy
Rh1 Rh 0.0000 0.0000 0.0000 1
Y1 Y 0.0000 0.5000 0.0000 1
Li1 Li 0.5000 0.5000 0.5000 1
Y2 Y 0.5000 0.0000 0.0000 1
La1 La 0.0000 0.0000 0.5000 1

---

[2]
# Li2LaZrRh, optimized geometry, DFT PBE
# raw total energy	-4.57	eV per atom
# crystal system	tetragonal
# space-group type	P4/mmm, No. 123
data_Li2LaZrRh
_chemical_formula_sum 'Li2 La1 Zr1 Rh1'
_symmetry_space_group_name_H-M 'P 1'
_symmetry_Int_Tables_number 1
_symmetry_space_group_name_Hall 'P 1'
_cell_length_a 4.7827
_cell_length_b 5.1646
_cell_length_c 4.7827
_cell_angle_alpha 90.00
_cell_angle_beta 90.00
_cell_angle_gamma 90.00
loop_
_atom_site_label
_atom_site_type_symbol
_atom_site_fract_x
_atom_site_fract_y
_atom_site_fract_z
_atom_site_occupancy
Li1 Li 0.5000 0.0000 0.0000 1
Zr1 Zr 0.5000 0.5000 0.5000 1
La1 La 0.0000 0.5000 0.0000 1
Li2 Li 0.0000 0.0000 0.5000 1
Rh1 Rh 0.0000 0.0000 0.0000 1

---

[3]
# Li2LaRu, optimized geometry, DFT PBE
# raw total energy	-4.44	eV per atom
# crystal system	trigonal
# E above lowest polymorph	80.4	meV/atom
# space-group type	R3m, No. 160
data_Li2LaRu
_chemical_formula_sum 'Li2 La1 Ru1'
_symmetry_space_group_name_H-M 'P 1'
_symmetry_Int_Tables_number 1
_symmetry_space_group_name_Hall 'P 1'
_cell_length_a 5.8132
_cell_length_b 5.8132
_cell_length_c 5.8132
_cell_angle_alpha 42.66
_cell_angle_beta 42.66
_cell_angle_gamma 42.66
loop_
_atom_site_label
_atom_site_type_symbol
_atom_site_fract_x
_atom_site_fract_y
_atom_site_fract_z
_atom_site_occupancy
Li1 Li 0.2484 0.2484 0.2484 1
La1 La 0.7713 0.7713 0.7713 1
Li2 Li 0.9599 0.9599 0.9599 1
Ru1 Ru 0.5204 0.5204 0.5204 1

---

[4]
# LiLaRu, optimized geometry, DFT PBE
# raw total energy	-5.45	eV per atom
# crystal system	monoclinic
# E above lowest polymorph	0.0	meV/atom
# space-group type	C2/m, No. 12
data_LiLaRu
_chemical_formula_sum 'Li2 La2 Ru2'
_symmetry_space_group_name_H-M 'P 1'
_symmetry_Int_Tables_number 1
_symmetry_space_group_name_Hall 'P 1'
_cell_length_a 4.6572
_cell_length_b 5.5221
_cell_length_c 7.2242
_cell_angle_alpha 55.10
_cell_angle_beta 89.99
_cell_angle_gamma 65.05
loop_
_atom_site_label
_atom_site_type_symbol
_atom_site_fract_x
_atom_site_fract_y
_atom_site_fract_z
_atom_site_occupancy
Li1 Li 0.5993 0.0923 0.7229 1
La1 La 0.2161 0.8588 0.4788 1
Ru1 Ru 0.9642 0.3627 0.4568 1
La2 La 0.3783 0.5344 0.1168 1
Li2 Li 0.9952 0.3007 0.8727 1
Ru2 Ru 0.6303 0.0306 0.1388 1